1.
A plane-wave DFT calculation with PBE was carried out for a relaxed structure of BePt5.

Values from the calculation:
Distance to the lowest polymorph of the same formula: 56.0 kJ/mol of formula units
Energy of formation from the pure elements: -4.72 kcal/mol of atoms
Crystal system: orthorhombic

a b c (Å): 4.6245 2.7587 14.1323
angles (deg): 90.00 90.00 90.00
Space group Amm2 (No. 38)
Inequivalent atoms, fractional coordinates:
Be: 0.0000 0.0000 0.0000
Pt: 0.0000 0.0000 0.3633
Pt: 0.0000 0.0000 0.6368
Pt: 0.5000 0.0000 0.1673
Pt: 0.5000 0.0000 0.5005
Pt: 0.5000 0.0000 0.8338

=====

2.
A plane-wave DFT calculation with PBE was carried out for a relaxed structure of MgSbPb2O6.

Values from the calculation:
Uncorrected formation energy: -1.484 eV per atom
Crystal system: monoclinic

a b c (Å): 5.6831 5.7700 9.8583
angles (deg): 90.00 125.06 90.00
Space group P2_1/c (No. 14)
Inequivalent atoms, fractional coordinates:
Mg: 0.0000 0.0000 0.0000
Sb: 0.5000 0.0000 0.5000
Pb: 0.2434 0.0384 0.7492
O: 0.1761 0.2014 0.4617
O: 0.2606 0.7157 0.4594
O: 0.3356 0.0224 0.2563

=====

3.
A plane-wave DFT calculation with PBE was carried out for a relaxed structure of DyPuTl2O8.

Values from the calculation:
Uncorrected formation energy: -1.839 eV per atom
Crystal system: monoclinic

a b c (Å): 5.2301 6.8042 5.2376
angles (deg): 90.00 92.73 90.00
Space group P2/m (No. 10)
Inequivalent atoms, fractional coordinates:
Dy: 0.0000 0.0000 0.0000
Pu: 0.0000 0.5000 0.0000
Tl: 0.5000 0.2477 0.5000
O: 0.1723 0.2819 0.8291
O: 0.2953 0.5000 0.2967
O: 0.3033 0.0000 0.3047

=====

4.
A plane-wave DFT calculation with PBE was carried out for a relaxed structure of SmEr12Tm6.

Values from the calculation:
Distance to the lowest polymorph of the same formula: 0.0 kJ/mol of formula units
Energy of formation from the pure elements: 3.74 kcal/mol of atoms
Crystal system: trigonal

a b c (Å): 11.7194 11.7194 15.0629
angles (deg): 90.00 90.00 120.00
Space group R-3 (No. 148, hexagonal axes)
Inequivalent atoms, fractional coordinates:
Sm: 0.0000 0.0000 0.0000
Er: 0.0191 0.1837 0.1916
Er: 0.0402 0.1891 0.4155
Tm: 0.0088 0.5861 0.6781

=====

5.
A plane-wave DFT calculation with PBE was carried out for a relaxed structure of CuSbPb.

Values from the calculation:
Distance to the lowest polymorph of the same formula: 3.0 kJ/mol of formula units
Uncorrected formation energy: 0.053 eV per atom
Crystal system: trigonal

a b c (Å): 4.3832 4.3832 4.6685
angles (deg): 90.00 90.00 120.00
Space group P3m1 (No. 156)
Inequivalent atoms, fractional coordinates:
Cu: 0.0000 0.0000 0.0000
Sb: 0.3333 0.6667 0.8941
Pb: 0.6667 0.3333 0.3708

=====

6.
A plane-wave DFT calculation with PBE was carried out for a relaxed structure of CoSi2Sb.

Values from the calculation:
Uncorrected formation energy: 0.117 eV per atom
Crystal system: monoclinic

a b c (Å): 3.4892 3.5438 5.7796
angles (deg): 90.00 107.36 90.00
Space group Pm (No. 6)
Inequivalent atoms, fractional coordinates:
Co: 0.0000 0.0000 0.0000
Si: 0.3596 0.0000 0.7148
Si: 0.8620 0.5000 0.7183
Sb: 0.6090 0.5000 0.2181

=====

7.
A plane-wave DFT calculation with PBE was carried out for a relaxed structure of Ni4MoPt3.

Values from the calculation:
Distance to the lowest polymorph of the same formula: 8.9 kJ/mol of formula units
Energy of formation from the pure elements: -2.62 kcal/mol of atoms
Crystal system: orthorhombic

a b c (Å): 3.7983 3.8221 14.7683
angles (deg): 90.00 90.00 90.00
Space group Immm (No. 71)
Inequivalent atoms, fractional coordinates:
Ni: 0.0000 0.0000 0.1270
Ni: 0.0000 0.5000 0.2528
Mo: 0.0000 0.5000 0.0000
Pt: 0.0000 0.0000 0.3680
Pt: 0.0000 0.5000 0.5000

=====

8.
A plane-wave DFT calculation with PBE was carried out for a relaxed structure of CeSmNpN3.

Values from the calculation:
Uncorrected formation energy: -1.028 eV per atom
Crystal system: monoclinic

a b c (Å): 7.1831 3.6488 8.6940
angles (deg): 90.00 95.08 90.00
Space group P2_1/m (No. 11)
Inequivalent atoms, fractional coordinates:
Ce: 0.1261 0.2500 0.1574
Sm: 0.3484 0.7500 0.8731
Np: 0.4472 0.7500 0.4096
N: 0.1104 0.2500 0.8892
N: 0.2817 0.2500 0.4100
N: 0.3981 0.7500 0.1507

=====

9.
A plane-wave DFT calculation with PBE was carried out for a relaxed structure of Ac2Sb3Pd4Pt.

Values from the calculation:
Uncorrected formation energy: -0.830 eV per atom
Crystal system: tetragonal

a b c (Å): 4.6138 4.6138 10.8820
angles (deg): 90.00 90.00 90.00
Space group P-4m2 (No. 115)
Inequivalent atoms, fractional coordinates:
Ac: 0.0000 0.5000 0.2414
Sb: 0.0000 0.0000 0.0000
Sb: 0.0000 0.5000 0.6275
Pd: 0.0000 0.0000 0.5000
Pd: 0.0000 0.5000 0.8672
Pd: 0.5000 0.5000 0.5000
Pt: 0.5000 0.5000 0.0000

=====

10.
A plane-wave DFT calculation with PBE was carried out for a relaxed structure of NiAg5.

Values from the calculation:
Distance to the lowest polymorph of the same formula: 153.9 kJ/mol of formula units
Energy of formation from the pure elements: 9.30 kcal/mol of atoms
Crystal system: cubic

a b c (Å): 7.6225 7.6225 7.6225
angles (deg): 90.00 90.00 90.00
Space group F-43m (No. 216)
Inequivalent atoms, fractional coordinates:
Ni: 0.0000 0.0000 0.0000
Ag: 0.1252 0.1252 0.6252
Ag: 0.2500 0.2500 0.2500

=====

11.
A plane-wave DFT calculation with PBE was carried out for a relaxed structure of LaGaP2O.

Values from the calculation:
Distance to the lowest polymorph of the same formula: 0.0 kJ/mol of formula units
Uncorrected formation energy: -0.627 eV per atom
Crystal system: tetragonal

a b c (Å): 4.8614 4.8614 4.0019
angles (deg): 90.00 90.00 90.00
Space group P4/mmm (No. 123)
Inequivalent atoms, fractional coordinates:
La: 0.0000 0.0000 0.0000
Ga: 0.5000 0.5000 0.5000
P: 0.0000 0.5000 0.5000
O: 0.5000 0.5000 0.0000

=====

12.
A plane-wave DFT calculation with PBE was carried out for a relaxed structure of LiSm2Tl4.

Values from the calculation:
Distance to the lowest polymorph of the same formula: 63.7 kJ/mol of formula units
Energy of formation from the pure elements: -2.53 kcal/mol of atoms
Crystal system: tetragonal

a b c (Å): 4.8933 4.8933 16.2358
angles (deg): 90.00 90.00 90.00
Space group I4/mmm (No. 139)
Inequivalent atoms, fractional coordinates:
Li: 0.0000 0.0000 0.0000
Sm: 0.0000 0.0000 0.3597
Tl: 0.0000 0.0000 0.1673
Tl: 0.0000 0.5000 0.0000

=====

13.
A plane-wave DFT calculation with PBE was carried out for a relaxed structure of LaLuAgBi.

Values from the calculation:
Energy of formation from the pure elements: -9.52 kcal/mol of atoms
Crystal system: cubic

a b c (Å): 7.6412 7.6412 7.6412
angles (deg): 90.00 90.00 90.00
Space group F-43m (No. 216)
Inequivalent atoms, fractional coordinates:
La: 0.0000 0.0000 0.0000
Lu: 0.0000 0.0000 0.5000
Ag: 0.2500 0.2500 0.7500
Bi: 0.2500 0.2500 0.2500

=====

14.
A plane-wave DFT calculation with PBE was carried out for a relaxed structure of Fe2CoAg.

Values from the calculation:
Distance to the lowest polymorph of the same formula: 62.8 kJ/mol of formula units
Energy of formation from the pure elements: 8.48 kcal/mol of atoms
Crystal system: cubic

a b c (Å): 5.9609 5.9609 5.9609
angles (deg): 90.00 90.00 90.00
Space group F-43m (No. 216)
Inequivalent atoms, fractional coordinates:
Fe: 0.0000 0.0000 0.0000
Fe: 0.2500 0.2500 0.2500
Co: 0.2500 0.2500 0.7500
Ag: 0.0000 0.0000 0.5000

=====

15.
A plane-wave DFT calculation with PBE was carried out for a relaxed structure of LiLaNd2S5.

Values from the calculation:
Uncorrected formation energy: -1.903 eV per atom
Crystal system: orthorhombic

a b c (Å): 4.0546 16.7927 12.1062
angles (deg): 90.00 90.00 90.00
Space group Cmc2_1 (No. 36)
Inequivalent atoms, fractional coordinates:
Li: 0.0000 0.0102 0.0000
La: 0.0000 0.3043 0.5122
Nd: 0.0000 0.3807 0.8106
Nd: 0.0000 0.3900 0.1973
S: 0.0000 0.0029 0.8011
S: 0.0000 0.1351 0.5139
S: 0.0000 0.1918 0.8465
S: 0.0000 0.2071 0.1792
S: 0.0000 0.4583 0.5888

=====

16.
A plane-wave DFT calculation with PBE was carried out for a relaxed structure of BaCu2As.

Values from the calculation:
Energy of formation from the pure elements: -7.17 kcal/mol of atoms
Crystal system: trigonal

a b c (Å): 4.2655 4.2655 17.2269
angles (deg): 90.00 90.00 120.00
Space group R3m (No. 160, hexagonal axes)
Inequivalent atoms, fractional coordinates:
Ba: 0.0000 0.0000 0.0000
Cu: 0.0000 0.0000 0.1926
Cu: 0.0000 0.0000 0.5043
As: 0.0000 0.0000 0.8016

=====

17.
A plane-wave DFT calculation with PBE was carried out for a relaxed structure of Pm8ErSn6.

Values from the calculation:
Energy of formation from the pure elements: -12.99 kcal/mol of atoms
Crystal system: trigonal

a b c (Å): 9.2577 9.2577 19.7459
angles (deg): 90.00 90.00 120.00
Space group R-3 (No. 148, hexagonal axes)
Inequivalent atoms, fractional coordinates:
Pm: 0.0000 0.0000 0.1662
Pm: 0.0009 0.6642 0.3960
Er: 0.0000 0.0000 0.5000
Sn: 0.9996 0.3280 0.4328

=====

18.
A plane-wave DFT calculation with PBE was carried out for a relaxed structure of NdTm2Th.

Values from the calculation:
Distance to the lowest polymorph of the same formula: 2.1 kJ/mol of formula units
Energy of formation from the pure elements: 0.40 kcal/mol of atoms
Crystal system: trigonal

a b c (Å): 3.5721 3.5721 34.4157
angles (deg): 90.00 90.00 120.00
Space group R-3m (No. 166, hexagonal axes)
Inequivalent atoms, fractional coordinates:
Nd: 0.0000 0.0000 0.0000
Tm: 0.0000 0.0000 0.2478
Th: 0.0000 0.0000 0.5000

=====

19.
A plane-wave DFT calculation with PBE was carried out for a relaxed structure of Ba2Na3Au4.

Values from the calculation:
Energy of formation from the pure elements: -10.24 kcal/mol of atoms
Crystal system: orthorhombic

a b c (Å): 6.7161 17.2321 8.8642
angles (deg): 90.00 90.00 90.00
Space group Cmce (No. 64)
Inequivalent atoms, fractional coordinates:
Ba: 0.0000 0.1145 0.0823
Na: 0.0000 0.0000 0.5000
Na: 0.2500 0.2071 0.7500
Au: 0.0000 0.1887 0.4507
Au: 0.2500 0.0370 0.7500

=====

20.
A plane-wave DFT calculation with PBE was carried out for a relaxed structure of Si2RuPb.

Values from the calculation:
Uncorrected formation energy: 0.238 eV per atom
Crystal system: tetragonal

a b c (Å): 4.8452 4.8452 15.1683
angles (deg): 90.00 90.00 90.00
Space group I-42d (No. 122)
Inequivalent atoms, fractional coordinates:
Si: 0.1032 0.2500 0.1250
Ru: 0.0000 0.0000 0.0000
Pb: 0.0000 0.0000 0.5000